## YIr2Pb (PBE)

Data for YIr2Pb after structural relaxation.

Total magnetization ... 0.000 μB/atom
Fermi-level density of states ... 1.33 states/eV/cell
Total energy ... -7.2359 eV per atom

abc: 4.9767 4.9767 4.4872
angles: 63.20 63.20 53.60
Fractional coordinates of all 4 atoms:
1 Pb 0.7500 0.7500 0.7500
2 Ir 0.5000 0.5000 0.5000
3 Ir 0.0000 0.0000 0.0000
4 Y 0.2500 0.2500 0.2500